# ThGe2Os | Alexandria via LeMat-Bulk | GGA-PBE | relaxed
# Raw total energy ... -7.5168 eV per atom
# Formation energy from the elements ... -546 meV/atom
data_ThGe2Os
_chemical_formula_sum 'Th8 Ge16 Os8'
_cell_length_a 4.379
_cell_length_b 16.287
_cell_length_c 9.112
_cell_angle_alpha 90.00
_cell_angle_beta 90.00
_cell_angle_gamma 90.00
_symmetry_space_group_name_H-M 'C m c m'
_symmetry_Int_Tables_number 63
_symmetry_space_group_name_Hall '-C 2c 2'
loop_
_atom_site_label
_atom_site_type_symbol
_atom_site_fract_x
_atom_site_fract_y
_atom_site_fract_z
Th1 Th 0.000 0.000 0.000
Th2 Th 0.000 0.208 0.250
Ge1 Ge 0.000 0.200 0.591
Ge2 Ge 0.000 0.418 0.250
Ge3 Ge 0.000 0.426 0.750
Os1 Os 0.000 0.358 0.000